Below is an optimized crystal structure of YGe2OsPd, with properties calculated at the PBE level.

Cell and atoms, written as extended XYZ:
```
5
Lattice="4.6573 0.0000 0.0000 0.0000 4.6573 0.0000 0.0000 0.0000 5.1283" Properties=species:S:1:pos:R:3 pbc="T T T"
Y 0.0000 0.0000 0.0000
Ge 0.0000 2.3287 2.5642
Ge 2.3287 0.0000 2.5642
Os 2.3287 2.3287 0.0000
Pd 2.3287 2.3287 2.5642
```

Computed properties:
N(E_F) (states/eV per atom): 0.963
Space-group type: No. 123
E (eV per atom): -5.8582
Total magnetization (μB/cell): 1.24